[1]
First-principles (PBE) data for ZrSiTe4 after structural relaxation, as listed in Alexandria via LeMat-Bulk.

```
data_ZrSiTe4
_chemical_formula_sum 'Zr4 Si4 Te16'
_cell_length_a 8.6976
_cell_length_b 8.6976
_cell_length_c 8.6976
_cell_angle_alpha 90.00
_cell_angle_beta 90.00
_cell_angle_gamma 90.00
_space_group_name_H-M_alt 'F -4 3 m'
_space_group_IT_number 216
_space_group_name_Hall 'F -4 2 3'
loop_
_atom_site_label
_atom_site_fract_x
_atom_site_fract_y
_atom_site_fract_z
Zr1 0.0000 0.0000 0.0000
Si1 0.2500 0.2500 0.7500
Te1 0.1254 0.1254 0.3746
```

Calculated values
For the formation energy (no corrections), the calculation gives 0.763 eV/atom. Its total magnetization is 0.0 Bohr magnetons per cell.

=====

[2]
First-principles (PBE) data for YErRh after structural relaxation, as listed in Alexandria via LeMat-Bulk.

```
data_YErRh
_chemical_formula_sum 'Y4 Er4 Rh4'
_cell_length_a 4.5072
_cell_length_b 4.5072
_cell_length_c 14.5222
_cell_angle_alpha 90.00
_cell_angle_beta 90.00
_cell_angle_gamma 90.00
_space_group_name_H-M_alt 'I 4/m m m'
_space_group_IT_number 139
_space_group_name_Hall '-I 4 2'
loop_
_atom_site_label
_atom_site_fract_x
_atom_site_fract_y
_atom_site_fract_z
Y1 0.0000 0.0000 0.1856
Er1 0.0000 0.5000 0.0000
Rh1 0.0000 0.0000 0.3745
```

Calculated values
As for the formation energy: -0.560 eV/atom. Its total magnetization is 0.0 Bohr magnetons per cell. The calculation puts the energy relative to the lowest polymorph listed for this composition at 36 meV/atom.

=====

[3]
First-principles (PBE) data for Ce3Dy5H12 after structural relaxation, as listed in Alexandria via LeMat-Bulk.

```
data_Ce3Dy5H12
_chemical_formula_sum 'Ce24 Dy40 H96'
_cell_length_a 13.1886
_cell_length_b 13.1886
_cell_length_c 13.1886
_cell_angle_alpha 90.00
_cell_angle_beta 90.00
_cell_angle_gamma 90.00
_space_group_name_H-M_alt 'I a -3 d'
_space_group_IT_number 230
_space_group_name_Hall '-I 4bd 2c 3'
loop_
_atom_site_label
_atom_site_fract_x
_atom_site_fract_y
_atom_site_fract_z
Ce1 0.0000 0.2500 0.1250
Dy1 0.0000 0.0000 0.0000
Dy2 0.0000 0.2500 0.3750
H1 0.0063 0.0707 0.6532
```

Calculated values
Its total energy is -4.494 eV per atom. Its total magnetization is 11.8 Bohr magnetons per cell.

=====

[4]
First-principles (PBE) data for NaScAsBr2 after structural relaxation, as listed in Alexandria via LeMat-Bulk.

```
data_NaScAsBr2
_chemical_formula_sum 'Na1 Sc1 As1 Br2'
_cell_length_a 5.0130
_cell_length_b 5.0130
_cell_length_c 5.6266
_cell_angle_alpha 90.00
_cell_angle_beta 90.00
_cell_angle_gamma 90.00
_space_group_name_H-M_alt 'P 4/m m m'
_space_group_IT_number 123
_space_group_name_Hall '-P 4 2'
loop_
_atom_site_label
_atom_site_fract_x
_atom_site_fract_y
_atom_site_fract_z
Na1 0.0000 0.0000 0.0000
Sc1 0.5000 0.5000 0.5000
As1 0.0000 0.0000 0.5000
Br1 0.0000 0.5000 0.0000
```

Calculated values
For the formation energy (no corrections), the calculation gives -0.104 eV/atom. Its total magnetization is 1.0 Bohr magnetons per cell. The calculation puts the energy relative to the lowest polymorph listed for this composition at 810 meV/atom.

=====

[5]
First-principles (PBE) data for Cs2Cd2BiSe4 after structural relaxation, as listed in Alexandria via LeMat-Bulk.

```
data_Cs2Cd2BiSe4
_chemical_formula_sum 'Cs4 Cd4 Bi2 Se8'
_cell_length_a 18.7858
_cell_length_b 4.3500
_cell_length_c 8.1679
_cell_angle_alpha 90.00
_cell_angle_beta 108.59
_cell_angle_gamma 90.00
_space_group_name_H-M_alt 'C 1 2/m 1'
_space_group_IT_number 12
loop_
_space_group_symop_operation_xyz
'x,y,z'
'-x,-y,-z'
'-x,y,-z'
'x,-y,z'
'x+1/2,y+1/2,z'
'-x+1/2,-y+1/2,-z'
'-x+1/2,y+1/2,-z'
'x+1/2,-y+1/2,z'
loop_
_atom_site_label
_atom_site_fract_x
_atom_site_fract_y
_atom_site_fract_z
Cs1 0.1240 0.0000 0.0239
Cd1 0.1756 0.5000 0.4948
Bi1 0.0000 0.0000 0.5000
Se1 0.0336 0.5000 0.2843
Se2 0.2242 0.0000 0.6965
```

Calculated values
For the formation energy (no corrections), the calculation gives -0.752 eV/atom. Its total magnetization is 1.7 Bohr magnetons per cell.

=====

[6]
First-principles (PBE) data for NaIrRu after structural relaxation, as listed in Alexandria via LeMat-Bulk.

```
data_NaIrRu
_chemical_formula_sum 'Na4 Ir4 Ru4'
_cell_length_a 8.1832
_cell_length_b 4.1865
_cell_length_c 5.7391
_cell_angle_alpha 90.00
_cell_angle_beta 98.83
_cell_angle_gamma 90.00
_space_group_name_H-M_alt 'C 1 m 1'
_space_group_IT_number 8
loop_
_space_group_symop_operation_xyz
'x,y,z'
'x,-y,z'
'x+1/2,y+1/2,z'
'x+1/2,-y+1/2,z'
loop_
_atom_site_label
_atom_site_fract_x
_atom_site_fract_y
_atom_site_fract_z
Na1 0.0000 0.0000 0.0000
Na2 0.1640 0.5000 0.9514
Ir1 0.1752 0.5000 0.4554
Ir2 0.3562 0.0000 0.2613
Ru1 0.3068 0.0000 0.6877
Ru2 0.4941 0.5000 0.4914
```

Calculated values
As for the formation energy: 0.479 eV/atom. Its total magnetization is 0.0 Bohr magnetons per cell. The calculation puts the energy relative to the lowest polymorph listed for this composition at 145 meV/atom.

=====

[7]
First-principles (PBE) data for CdPBr2 after structural relaxation, as listed in Alexandria via LeMat-Bulk.

```
data_CdPBr2
_chemical_formula_sum 'Cd2 P2 Br4'
_cell_length_a 8.0047
_cell_length_b 3.7721
_cell_length_c 8.5381
_cell_angle_alpha 90.00
_cell_angle_beta 93.46
_cell_angle_gamma 90.00
_space_group_name_H-M_alt 'C 1 m 1'
_space_group_IT_number 8
loop_
_space_group_symop_operation_xyz
'x,y,z'
'x,-y,z'
'x+1/2,y+1/2,z'
'x+1/2,-y+1/2,z'
loop_
_atom_site_label
_atom_site_fract_x
_atom_site_fract_y
_atom_site_fract_z
Cd1 0.0000 0.0000 0.0000
P1 0.2091 0.5000 0.1263
Br1 0.2499 0.5000 0.3839
Br2 0.4833 0.0000 0.7691
```

Calculated values
For the formation energy (no corrections), the calculation gives -0.220 eV/atom. Its total magnetization is 0.0 Bohr magnetons per cell. The calculation puts the energy relative to the lowest polymorph listed for this composition at 0 meV/atom.

=====

[8]
First-principles (PBE) data for BaNa3Mg after structural relaxation, as listed in Alexandria via LeMat-Bulk.

```
data_BaNa3Mg
_chemical_formula_sum 'Ba1 Na3 Mg1'
_cell_length_a 6.0327
_cell_length_b 6.0327
_cell_length_c 6.0327
_cell_angle_alpha 90.00
_cell_angle_beta 90.00
_cell_angle_gamma 90.00
_space_group_name_H-M_alt 'P m -3 m'
_space_group_IT_number 221
_space_group_name_Hall '-P 4 2 3'
loop_
_atom_site_label
_atom_site_fract_x
_atom_site_fract_y
_atom_site_fract_z
Ba1 0.0000 0.0000 0.0000
Na1 0.0000 0.5000 0.5000
Mg1 0.5000 0.5000 0.5000
```

Calculated values
As for the formation energy: 0.192 eV/atom. Its total magnetization is 0.0 Bohr magnetons per cell. The calculation puts the energy relative to the lowest polymorph listed for this composition at 0 meV/atom.

=====

[9]
First-principles (PBE) data for Zr2ScCr after structural relaxation, as listed in Alexandria via LeMat-Bulk.

```
data_Zr2ScCr
_chemical_formula_sum 'Zr8 Sc4 Cr4'
_cell_length_a 6.9672
_cell_length_b 6.9672
_cell_length_c 6.9672
_cell_angle_alpha 90.00
_cell_angle_beta 90.00
_cell_angle_gamma 90.00
_space_group_name_H-M_alt 'F -4 3 m'
_space_group_IT_number 216
_space_group_name_Hall 'F -4 2 3'
loop_
_atom_site_label
_atom_site_fract_x
_atom_site_fract_y
_atom_site_fract_z
Zr1 0.0000 0.0000 0.0000
Zr2 0.2500 0.2500 0.2500
Sc1 0.2500 0.2500 0.7500
Cr1 0.0000 0.0000 0.5000
```

Calculated values
As for the formation energy: 0.229 eV/atom. Its total magnetization is 2.6 Bohr magnetons per cell. The calculation puts the energy relative to the lowest polymorph listed for this composition at 85 meV/atom.

=====

[10]
First-principles (PBE) data for Zr3HgC after structural relaxation, as listed in Alexandria via LeMat-Bulk.

```
data_Zr3HgC
_chemical_formula_sum 'Zr3 Hg1 C1'
_cell_length_a 3.3319
_cell_length_b 4.5290
_cell_length_c 6.3925
_cell_angle_alpha 90.00
_cell_angle_beta 90.00
_cell_angle_gamma 90.00
_space_group_name_H-M_alt 'P m m m'
_space_group_IT_number 47
loop_
_space_group_symop_operation_xyz
'x,y,z'
'-x,-y,-z'
'-x,-y,z'
'x,y,-z'
'x,-y,-z'
'-x,y,z'
'-x,y,-z'
'x,-y,z'
loop_
_atom_site_label
_atom_site_fract_x
_atom_site_fract_y
_atom_site_fract_z
Zr1 0.0000 0.0000 0.0000
Zr2 0.5000 0.5000 0.2445
Hg1 0.0000 0.0000 0.5000
C1 0.0000 0.5000 0.0000
```

Calculated values
As for the formation energy: -0.450 eV/atom. Its total magnetization is 0.0 Bohr magnetons per cell. The calculation puts the energy relative to the lowest polymorph listed for this composition at 54 meV/atom.

=====

> Which value of total magnetization does entry 10 give?

0.0 Bohr magnetons per cell

=====

> total magnetization of number 1 (ZrSiTe4)?

0.0 Bohr magnetons per cell

=====

> Look up the total magnetization of the seventh one.

0.0 Bohr magnetons per cell